# 1
Compound: K2LiPdF6
Source: Alexandria
Functional: SCAN
Structure: PBEsol geometry

Results
- formation energy from raw total energies (eV per atom) = -2.479
- uncorrected energy (eV/atom) = -9.785
- Fermi-level density of states (states/eV/cell) = 17.8
- total moment (Bohr magnetons per cell) = 4.000

Cell: 8.0801 8.0801 8.0801 Å, 90.00 90.00 90.00°
Space group Fm-3m (No. 225)
Symmetry-distinct sites (fractional):
K 0.2500 0.2500 0.2500
Li 0.0000 0.0000 0.0000
Pd 0.0000 0.0000 0.5000
F 0.0000 0.0000 0.2498

# 2
Compound: ZrAlCu2
Source: Alexandria
Functional: SCAN
Structure: PBEsol geometry

Results
- uncorrected energy (eV/atom) = -17.579
- Fermi-level density of states (states/eV/cell) = 9.9
- total moment (Bohr magnetons per cell) = 0.000
- formation energy from the elements (meV/atom) = -366

Cell: 4.0925 9.7904 6.0054 Å, 90.00 90.00 90.00°
Space group Cmcm (No. 63)
Symmetry-distinct sites (fractional):
Zr 0.0000 0.0841 0.2500
Al 0.0000 0.2034 0.7500
Cu 0.0000 0.3783 0.0504

# 3
Compound: MoRu2
Source: Alexandria
Functional: SCAN
Structure: PBEsol geometry

Results
- uncorrected energy (eV/atom) = -34.787
- Fermi-level density of states (states/eV/cell) = 11.3
- total moment (Bohr magnetons per cell) = 0.000
- formation energy from the elements (meV/atom) = 59

Cell: 3.7993 11.6044 3.8103 Å, 90.00 90.00 90.00°
Space group Cmcm (No. 63)
Symmetry-distinct sites (fractional):
Mo 0.0000 0.0889 0.2500
Ru 0.0000 0.2486 0.7500
Ru 0.0000 0.4148 0.2500

# 4
Compound: Sb3PN
Source: Alexandria
Functional: SCAN
Structure: PBEsol geometry

Results
- formation energy from raw total energies (eV per atom) = 0.934
- uncorrected energy (eV/atom) = -25.361
- Fermi-level density of states (states/eV/cell) = 2.8
- total moment (Bohr magnetons per cell) = 0.000

Cell: 4.6687 4.6687 4.6687 Å, 90.00 90.00 90.00°
Space group Pm-3m (No. 221)
Symmetry-distinct sites (fractional):
Sb 0.0000 0.0000 0.5000
P 0.5000 0.5000 0.5000
N 0.0000 0.0000 0.0000

# 5
Compound: Cr2CoMo
Source: Alexandria
Functional: SCAN
Structure: PBEsol geometry

Results
- uncorrected energy (eV/atom) = -22.042
- Fermi-level density of states (states/eV/cell) = 6.6
- total moment (Bohr magnetons per cell) = 4.062
- formation energy from the elements (meV/atom) = 198

Cell: 2.9839 4.0462 7.9935 Å, 90.00 90.00 90.00°
Space group Immm (No. 71)
Symmetry-distinct sites (fractional):
Cr 0.0000 0.0000 0.2427
Co 0.0000 0.5000 0.0000
Mo 0.0000 0.5000 0.5000

# 6
Compound: Be2NbOs2
Source: Alexandria
Functional: SCAN
Structure: PBEsol geometry

Results
- uncorrected energy (eV/atom) = -37.494
- Fermi-level density of states (states/eV/cell) = 3.1
- total moment (Bohr magnetons per cell) = 0.000
- formation energy from the elements (meV/atom) = -375

Cell: 6.4122 6.4122 2.9308 Å, 90.00 90.00 90.00°
Space group P4/mbm (No. 127)
Symmetry-distinct sites (fractional):
Be 0.1210 0.3790 0.0000
Nb 0.0000 0.0000 0.0000
Os 0.1673 0.6673 0.5000

# 7
Compound: TlP
Source: Alexandria
Functional: SCAN
Structure: PBEsol geometry

Results
- uncorrected energy (eV/atom) = -40.977
- Fermi-level density of states (states/eV/cell) = 3.7
- total moment (Bohr magnetons per cell) = 0.000
- formation energy from the elements (meV/atom) = 401

Cell: 5.5766 5.5766 5.5766 Å, 90.00 90.00 90.00°
Space group Fm-3m (No. 225)
Symmetry-distinct sites (fractional):
Tl 0.0000 0.0000 0.0000
P 0.0000 0.0000 0.5000

# 8
Compound: Ba2ZnCu
Source: Alexandria
Functional: SCAN
Structure: PBEsol geometry

Results
- uncorrected energy (eV/atom) = -27.026
- Fermi-level density of states (states/eV/cell) = 6.7
- total moment (Bohr magnetons per cell) = 0.000
- formation energy from the elements (meV/atom) = -72

Cell: 4.5420 4.6937 12.0825 Å, 90.00 90.00 90.00°
Space group Amm2 (No. 38)
Symmetry-distinct sites (fractional):
Ba 0.0000 0.0000 0.0000
Ba 0.5000 0.0000 0.2839
Zn 0.0000 0.0000 0.6932
Cu 0.5000 0.0000 0.5964

# 9
Compound: Rb3MnCo
Source: Alexandria
Functional: SCAN
Structure: PBEsol geometry

Results
- uncorrected energy (eV/atom) = -18.667
- Fermi-level density of states (states/eV/cell) = 3.3
- total moment (Bohr magnetons per cell) = 8.292
- formation energy from the elements (meV/atom) = 888

Cell: 6.2924 6.2924 6.2924 Å, 90.00 90.00 90.00°
Space group Pm-3m (No. 221)
Symmetry-distinct sites (fractional):
Rb 0.0000 0.0000 0.5000
Mn 0.5000 0.5000 0.5000
Co 0.0000 0.0000 0.0000

# 10
Compound: InAsPt
Source: Alexandria
Functional: SCAN
Structure: PBEsol geometry

Results
- uncorrected energy (eV/atom) = -41.192
- Fermi-level density of states (states/eV/cell) = 5.4
- total moment (Bohr magnetons per cell) = 0.000
- formation energy from the elements (meV/atom) = 65

Cell: 6.2404 6.2404 6.2404 Å, 90.00 90.00 90.00°
Space group F-43m (No. 216)
Symmetry-distinct sites (fractional):
In 0.0000 0.0000 0.0000
As 0.2500 0.2500 0.7500
Pt 0.0000 0.0000 0.5000

# 11
Compound: SnMo2PPb
Source: Alexandria
Functional: SCAN
Structure: PBEsol geometry

Results
- uncorrected energy (eV/atom) = -36.168
- Fermi-level density of states (states/eV/cell) = 2.6
- total moment (Bohr magnetons per cell) = 7.135
- formation energy from the elements (meV/atom) = 2206

Cell: 5.2196 5.2196 5.4705 Å, 90.00 90.00 90.00°
Space group P4/mmm (No. 123)
Symmetry-distinct sites (fractional):
Sn 0.0000 0.0000 0.0000
Mo 0.0000 0.5000 0.5000
P 0.5000 0.5000 0.0000
Pb 0.0000 0.0000 0.5000

# 12
Compound: AlOs2Ru2
Source: Alexandria
Functional: SCAN
Structure: PBEsol geometry

Results
- uncorrected energy (eV/atom) = -43.821
- Fermi-level density of states (states/eV/cell) = 7.9
- total moment (Bohr magnetons per cell) = 0.000
- formation energy from the elements (meV/atom) = 412

Cell: 3.7178 3.7178 11.4929 Å, 90.00 90.00 90.00°
Space group I4/mmm (No. 139)
Symmetry-distinct sites (fractional):
Al 0.0000 0.0000 0.0000
Os 0.0000 0.0000 0.3976
Ru 0.0000 0.5000 0.2500

# 13
Compound: Cs2TaH
Source: Alexandria
Functional: SCAN
Structure: PBEsol geometry

Results
- uncorrected energy (eV/atom) = -34.749
- Fermi-level density of states (states/eV/cell) = 31.9
- total moment (Bohr magnetons per cell) = 15.993

Cell: 8.4298 8.4298 8.4298 Å, 90.00 90.00 90.00°
Space group Fm-3m (No. 225)
Symmetry-distinct sites (fractional):
Cs 0.2500 0.2500 0.2500
Ta 0.0000 0.0000 0.0000
H 0.0000 0.0000 0.5000

# 14
Compound: Mg2CoCl
Source: Alexandria
Functional: SCAN
Structure: PBEsol geometry

Results
- formation energy from raw total energies (eV per atom) = -0.102
- uncorrected energy (eV/atom) = -8.909
- Fermi-level density of states (states/eV/cell) = 1.6
- total moment (Bohr magnetons per cell) = 3.964

Cell: 3.1508 5.4615 8.4536 Å, 90.00 90.00 90.00°
Space group Immm (No. 71)
Symmetry-distinct sites (fractional):
Mg 0.0000 0.0000 0.2424
Co 0.0000 0.5000 0.0000
Cl 0.0000 0.5000 0.5000

# 15
Compound: Hf10Al3Si3
Source: Alexandria
Functional: SCAN
Structure: PBEsol geometry

Results
- formation energy from raw total energies (eV per atom) = -0.523
- uncorrected energy (eV/atom) = -43.025
- Fermi-level density of states (states/eV/cell) = 6.8
- total moment (Bohr magnetons per cell) = 0.000

Cell: 7.9208 7.9208 5.5152 Å, 90.00 90.00 120.00°
Space group P-62m (No. 189)
Symmetry-distinct sites (fractional):
Hf 0.0000 0.2433 0.0000
Hf 0.0000 0.7553 0.5000
Hf 0.3333 0.6667 0.2533
Al 0.0000 0.6051 0.0000
Si 0.0000 0.3906 0.5000

# 16
Compound: BeCu2Si
Source: Alexandria
Functional: SCAN
Structure: PBEsol geometry

Results
- formation energy from raw total energies (eV per atom) = 0.130
- uncorrected energy (eV/atom) = -11.062
- Fermi-level density of states (states/eV/cell) = 1.3
- total moment (Bohr magnetons per cell) = 0.000

Cell: 2.4981 2.4981 7.0696 Å, 90.00 90.00 90.00°
Space group P4mm (No. 99)
Symmetry-distinct sites (fractional):
Be 0.0000 0.0000 0.0000
Cu 0.0000 0.0000 0.4816
Cu 0.5000 0.5000 0.2150
Si 0.5000 0.5000 0.7493

# 17
Compound: RbRuRh3
Source: Alexandria
Functional: SCAN
Structure: PBEsol geometry

Results
- uncorrected energy (eV/atom) = -30.284
- Fermi-level density of states (states/eV/cell) = 3.6
- total moment (Bohr magnetons per cell) = 0.000
- formation energy from the elements (meV/atom) = 1092

Cell: 4.7102 4.7102 4.7102 Å, 90.00 90.00 90.00°
Space group Pm-3m (No. 221)
Symmetry-distinct sites (fractional):
Rb 0.0000 0.0000 0.0000
Ru 0.5000 0.5000 0.5000
Rh 0.0000 0.5000 0.5000

# 18
Compound: TbFeNi4
Source: Alexandria
Functional: SCAN
Structure: PBEsol geometry

Results
- uncorrected energy (eV/atom) = -21.866
- Fermi-level density of states (states/eV/cell) = 4.4
- total moment (Bohr magnetons per cell) = 4.360
- formation energy from the elements (meV/atom) = -268

Cell: 4.8573 4.8573 3.8831 Å, 90.00 90.00 120.00°
Space group P-6m2 (No. 187)
Symmetry-distinct sites (fractional):
Tb 0.0000 0.0000 0.0000
Fe 0.6667 0.3333 0.0000
Ni 0.0007 0.5003 0.5000
Ni 0.3333 0.6667 0.0000

# 19
Compound: TlTcP2
Source: Alexandria
Functional: SCAN
Structure: PBEsol geometry

Results
- uncorrected energy (eV/atom) = -31.955
- Fermi-level density of states (states/eV/cell) = 0.9
- total moment (Bohr magnetons per cell) = 0.000
- formation energy from the elements (meV/atom) = 99

Cell: 3.9285 3.1349 6.2138 Å, 90.00 108.07 90.00°
Space group Pm (No. 6)
Symmetry-distinct sites (fractional):
Tl 0.0000 0.0000 0.0000
Tc 0.3755 0.5000 0.7390
P 0.3773 0.0000 0.4510
P 0.7943 0.5000 0.5128

# 20
Compound: CaSb3P3O13
Source: Alexandria
Functional: SCAN
Structure: PBEsol geometry

Results
- formation energy from raw total energies (eV per atom) = -2.120
- uncorrected energy (eV/atom) = -13.803
- Fermi-level density of states (states/eV/cell) = 0.0
- total moment (Bohr magnetons per cell) = 0.000

Cell: 8.1639 6.8883 10.9865 Å, 90.00 103.35 90.00°
Space group P2_1/m (No. 11)
Symmetry-distinct sites (fractional):
Ca 0.1243 0.2500 0.1867
Sb 0.1491 0.2500 0.7631
Sb 0.2461 0.7500 0.4347
Sb 0.5000 0.0000 0.0000
P 0.1840 0.7500 0.0982
P 0.2447 0.7500 0.7540
P 0.3185 0.2500 0.4870
O 0.0009 0.7500 0.0222
O 0.1293 0.5754 0.7663
O 0.1850 0.7500 0.2394
O 0.2181 0.2500 0.5902
O 0.2699 0.0735 0.3979
O 0.2725 0.5571 0.0762
O 0.3175 0.7500 0.6388
O 0.3732 0.2500 0.8812
O 0.4043 0.7500 0.8657
O 0.4934 0.7500 0.4431

# 21
Compound: Cr4Re
Source: Alexandria
Functional: SCAN
Structure: PBEsol geometry

Results
- uncorrected energy (eV/atom) = -28.953
- Fermi-level density of states (states/eV/cell) = 7.8
- total moment (Bohr magnetons per cell) = 0.000
- formation energy from the elements (meV/atom) = -26

Cell: 6.4346 6.4346 2.8724 Å, 90.00 90.00 90.00°
Space group I4/m (No. 87)
Symmetry-distinct sites (fractional):
Cr 0.1026 0.3071 0.0000
Re 0.0000 0.0000 0.5000

# 22
Compound: La2YAl
Source: Alexandria
Functional: SCAN
Structure: PBEsol geometry

Results
- uncorrected energy (eV/atom) = -30.638
- Fermi-level density of states (states/eV/cell) = 7.9
- total moment (Bohr magnetons per cell) = 0.000
- formation energy from the elements (meV/atom) = -187

Cell: 12.5676 3.8258 5.4320 Å, 90.00 115.53 90.00°
Space group Cm (No. 8)
Symmetry-distinct sites (fractional):
La 0.0000 0.0000 0.0000
La 0.2145 0.0000 0.7163
Y 0.4325 0.0000 0.4324
Al 0.2259 0.5000 0.2281

# 23
Compound: Ta17Ru12
Source: Alexandria
Functional: SCAN
Structure: PBEsol geometry

Results
- uncorrected energy (eV/atom) = -53.752
- Fermi-level density of states (states/eV/cell) = 45.0
- total moment (Bohr magnetons per cell) = 0.000
- formation energy from the elements (meV/atom) = -309

Cell: 9.7485 9.7485 9.7485 Å, 90.00 90.00 90.00°
Space group I-43m (No. 217)
Symmetry-distinct sites (fractional):
Ta 0.0000 0.0000 0.0000
Ta 0.0381 0.3557 0.6443
Ta 0.1724 0.1724 0.1724
Ru 0.0915 0.0915 0.7183

# 24
Compound: CaIn2Re
Source: Alexandria
Functional: SCAN
Structure: PBEsol geometry

Results
- uncorrected energy (eV/atom) = -36.610
- Fermi-level density of states (states/eV/cell) = 14.5
- total moment (Bohr magnetons per cell) = 0.001
- formation energy from the elements (meV/atom) = 274

Cell: 6.8218 6.8218 6.8218 Å, 90.00 90.00 90.00°
Space group Fm-3m (No. 225)
Symmetry-distinct sites (fractional):
Ca 0.0000 0.0000 0.0000
In 0.2500 0.2500 0.2500
Re 0.0000 0.0000 0.5000

# 25
Compound: BeInCu
Source: Alexandria
Functional: SCAN
Structure: PBEsol geometry

Results
- uncorrected energy (eV/atom) = -17.149
- Fermi-level density of states (states/eV/cell) = 4.7
- total moment (Bohr magnetons per cell) = 0.000
- formation energy from the elements (meV/atom) = 497

Cell: 5.8544 5.8544 5.8544 Å, 90.00 90.00 90.00°
Space group F-43m (No. 216)
Symmetry-distinct sites (fractional):
Be 0.0000 0.0000 0.0000
In 0.2500 0.2500 0.2500
Cu 0.0000 0.0000 0.5000